# CsNaTbTe2

A relaxed CsNaTbTe2 crystal (PBE, the Alexandria database).

Lattice parameters (Å, degrees): 6.8238 16.8466 7.6112 90.00 90.00 90.00
Closest atoms and distances in Å follow each position.
Space group Cmme (No. 67)
Asymmetric unit:
Cs (0.0000, 0.2500, 0.2418) (multiplicity 4)  6 Te 4.10-4.12
Na (0.0000, 0.0000, 0.5000) (multiplicity 4)  2 Te 2.94
Tb (0.2500, 0.0000, 0.0000) (multiplicity 4)  4 Te 3.05, 2 Tb 3.41
Te (0.0000, 0.1160, 0.7888) (multiplicity 8)  1 Na 2.94, 2 Tb 3.05

Electronic total energy (eV per atom): -3.55